1.
NaGeW2 | GGA-PBE | relaxed

magnetic moment	0.00	μB per cell
space group	I-42d (122)
formation energy	1049.7	meV per atom

Cell lengths 3.8381, 3.8381, 10.2416 Å; angles 79.20, 79.20, 90.00 degrees
Closest atoms and distances in Å follow each position.
Fractional coordinates of all 8 atoms:
1 W 0.3750 0.3469 0.7500  4 W 2.57-2.87, 2 Ge 2.78, 2 Na 2.86
2 W 0.0969 0.6250 0.2500  4 W 2.57-2.87, 2 Ge 2.78, 2 Na 2.86
3 W 0.6531 0.1250 0.2500  4 W 2.57-2.87, 2 Ge 2.78, 2 Na 2.86
4 W 0.8750 0.9031 0.7500  4 W 2.57-2.87, 2 Ge 2.78, 2 Na 2.86
5 Ge 0.0000 0.0000 0.0000  4 Na 2.71, 4 W 2.78
6 Ge 0.7500 0.2500 0.5000  4 Na 2.71, 4 W 2.78
7 Na 0.5000 0.5000 0.0000  4 Ge 2.71, 4 W 2.86
8 Na 0.2500 0.7500 0.5000  4 Ge 2.71, 4 W 2.86

***

2.
TbPrScAg | GGA-PBE | relaxed

magnetic moment	0.00	μB per cell
E above lowest polymorph	0.1443	eV per atom
space group	F-43m (216)
formation energy	41.5	meV per atom

Cell lengths 5.3577, 5.3577, 5.3577 Å; angles 60.00, 60.00, 60.00 degrees
Closest atoms and distances in Å follow each position.
Fractional coordinates of all 4 atoms:
1 Tb 0.0000 0.0000 0.0000  4 Ag 3.28, 4 Sc 3.28
2 Ag 0.2500 0.2500 0.2500  4 Tb 3.28, 4 Pr 3.28
3 Pr 0.5000 0.5000 0.5000  4 Sc 3.28, 4 Ag 3.28
4 Sc 0.7500 0.7500 0.7500  4 Tb 3.28, 4 Pr 3.28

***

3.
BaLaMn | GGA-PBE | relaxed

magnetic moment	3.26	μB per cell
E above lowest polymorph	0.0000	eV per atom
space group	I4mm (107)
formation energy	372.4	meV per atom

Cell lengths 7.6269, 7.6269, 7.6269 Å; angles 150.43, 150.43, 42.31 degrees
Closest atoms and distances in Å follow each position.
Fractional coordinates of all 3 atoms:
1 Mn 0.3166 0.3166 0.0000  4 La 3.15
2 Ba 0.9747 0.9747 0.0000  4 Mn 3.55, 1 La 3.78, 4 Ba 3.89
3 La 0.7087 0.7087 0.0000  4 Mn 3.15

***

4.
BaSmEu2 | GGA-PBE | relaxed

magnetic moment	15.54	μB per cell
E above lowest polymorph	0.0000	eV per atom
space group	P4/mmm (123)
formation energy	95.9	meV per atom

Cell lengths 3.9760, 3.9760, 11.1581 Å; angles 90.00, 90.00, 90.00 degrees
Closest atoms and distances in Å follow each position.
Fractional coordinates of all 4 atoms:
1 Sm 0.5000 0.5000 0.0000  8 Eu 3.72, 4 Sm 3.98
2 Eu 0.0000 0.0000 0.2187  4 Sm 3.72, 4 Eu 3.98
3 Eu 0.0000 0.0000 0.7813  4 Sm 3.72, 4 Eu 3.98
4 Ba 0.5000 0.5000 0.5000  4 Ba 3.98, 8 Eu 4.21

***

5.
DyMg2In6 | GGA-PBE | relaxed

magnetic moment	0.00	μB per cell
space group	Amm2 (38)
formation energy	-59.8	meV per atom

Cell lengths 4.7884, 7.1084, 7.1084 Å; angles 90.11, 90.00, 90.00 degrees
Closest atoms and distances in Å follow each position.
Fractional coordinates of all 9 atoms:
1 In 0.0000 0.2884 0.0054  2 Mg 2.82-2.97, 3 In 2.85-2.92
2 In 0.5000 0.5225 0.0146  2 In 2.92, 2 Mg 3.08
3 In 0.0000 0.7574 0.7574  6 In 3.19-3.45, 2 Dy 3.29
4 In 0.0000 0.0054 0.2884  2 Mg 2.82-2.97, 3 In 2.85-2.92
5 In 0.5000 0.5479 0.5479  4 Mg 3.12, 4 In 3.19-3.32
6 In 0.5000 0.0146 0.5225  2 In 2.92, 2 Mg 3.08
7 Dy 0.5000 0.9818 0.9818  8 In 3.24-3.29
8 Mg 0.0000 0.6084 0.2737  6 In 2.82-3.12
9 Mg 0.0000 0.2737 0.6084  6 In 2.82-3.12

***

6.
Ba2USe4 | GGA-PBE | relaxed

magnetic moment	4.00	μB per cell
E above lowest polymorph	0.2162	eV per atom
space group	P2_1/m (11)
E_form (uncorrected)	-989.1	kJ/mol of formula units

Cell lengths 7.9282, 7.3002, 9.3905 Å; angles 90.00, 108.47, 90.00 degrees
Closest atoms and distances in Å follow each position.
Fractional coordinates of all 14 atoms:
1 Ba 0.7482 0.7500 0.5522  6 Se 3.26-3.50
2 Ba 0.2996 0.2500 0.9404  6 Se 3.35-3.44
3 Ba 0.2518 0.2500 0.4478  6 Se 3.26-3.50
4 Ba 0.7004 0.7500 0.0596  6 Se 3.35-3.44
5 Se 0.0516 0.7500 0.3807  1 U 2.68
6 Se 0.0282 0.7500 0.8925  1 U 2.70
7 Se 0.9484 0.2500 0.6193  1 U 2.68
8 Se 0.4895 0.0068 0.2525  1 U 2.70
9 Se 0.9718 0.2500 0.1075  1 U 2.70
10 Se 0.5105 0.5068 0.7475  1 U 2.70
11 Se 0.5105 0.9932 0.7475  1 U 2.70
12 Se 0.4895 0.4932 0.2525  1 U 2.70
13 U 0.7680 0.2500 0.8169  4 Se 2.68-2.70
14 U 0.2320 0.7500 0.1831  4 Se 2.68-2.70

***

7.
NaPm2Re2N6 | GGA-PBE | relaxed

magnetic moment	0.00	μB per cell
space group	P-1 (2)
E_form (uncorrected)	-605.3	kJ/mol of formula units

Cell lengths 6.3251, 6.3898, 6.8902 Å; angles 115.55, 95.38, 54.88 degrees
Closest atoms and distances in Å follow each position.
Fractional coordinates of all 11 atoms:
1 Re 0.1198 0.7789 0.8046  3 N 1.78-1.85
2 Re 0.8802 0.2211 0.1954  3 N 1.78-1.85
3 N 0.0853 0.1024 0.3823  1 Re 1.82
4 N 0.1568 0.4856 0.8341  1 Re 1.85
5 N 0.9147 0.8976 0.6177  1 Re 1.82
6 N 0.5828 0.2617 0.2344  1 Re 1.78
7 N 0.4172 0.7383 0.7656  1 Re 1.78
8 N 0.8432 0.5144 0.1659  1 Re 1.85
9 Na 0.5000 0.0000 0.5000  4 N 2.46-2.58
10 Pm 0.1501 0.6245 0.2329  5 N 2.36-2.55
11 Pm 0.8499 0.3755 0.7671  5 N 2.36-2.55

***

8.
CaMn2VZn | GGA-PBE | relaxed

magnetic moment	4.71	μB per cell
space group	P4/mmm (123)
formation energy	486.0	meV per atom

Cell lengths 4.4839, 5.0032, 4.4839 Å; angles 90.00, 90.00, 90.00 degrees
Closest atoms and distances in Å follow each position.
Fractional coordinates of all 5 atoms:
1 Mn 0.5000 0.0000 0.0000  2 V 2.24
2 Mn 0.0000 0.0000 0.5000  2 V 2.24
3 Zn 0.0000 0.5000 0.0000  2 V 2.50
4 Ca 0.5000 0.5000 0.5000  4 Zn 3.17, 8 Mn 3.36
5 V 0.0000 0.0000 0.0000  4 Mn 2.24, 2 Zn 2.50

***

Question: The highest magnetic moment belongs to which entry?
Answer: BaSmEu2